(1)
Compound: IrS2Br
Source: Alexandria
Functional: GGA-PBE
Structure: optimized geometry

Output
- uncorrected formation energy (eV per atom) = 0.046
- symmetry = I4/mcm, No. 140

Cell: 6.9848 6.9848 6.9848 Å, 98.54 98.54 134.67°
Element x y z (fractional)
Ir: 0.2500 0.7500 0.5000
Ir: 0.7500 0.2500 0.5000
S: 0.1397 0.6397 0.7794
S: 0.3603 0.1397 0.5000
S: 0.6397 0.8603 0.5000
S: 0.8603 0.3603 0.2206
Br: 0.2500 0.2500 0.0000
Br: 0.7500 0.7500 0.0000


(2)
Compound: IrS2Br
Source: Alexandria
Functional: GGA-PBE
Structure: optimized geometry

Output
- uncorrected formation energy (eV per atom) = 0.119
- symmetry = I-42d, No. 122

Cell: 6.4029 6.4029 6.4029 Å, 118.40 118.40 92.80°
Element x y z (fractional)
Ir: 0.0000 0.0000 0.0000
Ir: 0.7500 0.2500 0.5000
S: 0.0328 0.1250 0.4078
S: 0.3750 0.9672 0.0922
S: 0.7172 0.6250 0.5922
S: 0.8750 0.2828 0.9078
Br: 0.2500 0.7500 0.5000
Br: 0.5000 0.5000 0.0000


(3)
Compound: IrS2Br
Source: Alexandria
Functional: GGA-PBE
Structure: optimized geometry

Output
- uncorrected formation energy (eV per atom) = -0.167
- symmetry = P1, No. 1

Cell: 5.8634 5.8689 6.7725 Å, 108.78 90.91 114.33°
Element x y z (fractional)
Ir: 0.0000 0.0000 0.0000
Ir: 0.4988 0.4987 0.0008
S: 0.0914 0.2904 0.8235
S: 0.3972 0.0293 0.8906
S: 0.6044 0.9688 0.1128
S: 0.7612 0.5847 0.7705
Br: 0.2952 0.4251 0.3348
Br: 0.9357 0.7393 0.2652


Question: The highest uncorrected formation energy belongs to which entry?
Answer: number 2